## GaGePb2Au6 (GGA-PBE)

Data for a relaxed GaGePb2Au6 crystal.

Properties
- DOS(E_F): 6.528 states/eV/cell
- VASP energy: -3.5331 eV per atom
- Space-group type: Pmmn
- E_form: -0.061 eV per atom

a b c (Å): 5.6836 8.8562 9.0962
angles (deg): 90.00 90.00 90.00
Sites, in units of the cell vectors:
Ga  0.0000  0.7373  0.5000
Ga  0.5000  0.2627  0.0000
Ge  0.5000  0.2559  0.5000
Ge  0.0000  0.7441  0.0000
Pb  0.5000  0.7143  0.2574
Pb  0.0000  0.2857  0.7574
Pb  0.5000  0.7143  0.7426
Pb  0.0000  0.2857  0.2426
Au  0.5000  0.1184  0.2512
Au  0.5000  0.1184  0.7488
Au  0.0000  0.8816  0.2488
Au  0.0000  0.8816  0.7512
Au  0.2497  0.9931  0.5000
Au  0.7503  0.9931  0.5000
Au  0.2474  0.4956  0.5000
Au  0.7526  0.4956  0.5000
Au  0.7474  0.5044  0.0000
Au  0.2526  0.5044  0.0000
Au  0.2503  0.0069  0.0000
Au  0.7497  0.0069  0.0000